No. 1
Below is an optimized crystal structure of TlHgH2F8, with properties calculated at the PBE level.

## Properties
* space-group type: P-1

Cell lengths 3.729, 4.929, 8.601 Å; angles 83.07, 91.03, 70.25 degrees
Element x y z (fractional)
1 Tl 0.000 0.000 0.500
2 Hg 0.000 0.000 0.000
3 H 0.488 0.474 0.737
4 H 0.512 0.526 0.263
5 F 0.195 0.784 0.249
6 F 0.681 0.734 0.976
7 F 0.744 0.342 0.266
8 F 0.805 0.216 0.751
9 F 0.319 0.266 0.024
10 F 0.256 0.658 0.734
11 F 0.672 0.730 0.492
12 F 0.328 0.270 0.508

No. 2
Below is an optimized crystal structure of YHgHF2, with properties calculated at the PBE level.

## Properties
* space-group type: P4/mmm

Cell lengths 4.286, 6.292, 4.286 Å; angles 90.00, 90.00, 90.00 degrees
Element x y z (fractional)
1 Y 0.000 0.000 0.000
2 H 0.500 0.500 0.500
3 Hg 0.000 0.500 0.000
4 F 0.000 0.000 0.500
5 F 0.500 0.000 0.000

No. 3
Below is an optimized crystal structure of ZnHgH2F8, with properties calculated at the PBE level.

## Properties
* space-group type: P-1

Cell lengths 4.264, 4.398, 8.039 Å; angles 84.46, 94.47, 72.66 degrees
Element x y z (fractional)
1 Zn 0.000 0.000 0.000
2 Hg 0.000 0.000 0.500
3 H 0.514 0.490 0.767
4 H 0.486 0.510 0.233
5 F 0.287 0.699 0.227
6 F 0.729 0.738 0.998
7 F 0.790 0.216 0.256
8 F 0.713 0.301 0.773
9 F 0.271 0.262 0.002
10 F 0.210 0.784 0.744
11 F 0.707 0.715 0.494
12 F 0.293 0.285 0.506

No. 4
Below is an optimized crystal structure of HoH2F5, with properties calculated at the PBE level.

## Properties
* space-group type: P-1

Cell lengths 5.106, 5.104, 5.103 Å; angles 128.38, 100.97, 100.97 degrees
Element x y z (fractional)
1 Ho 0.000 0.778 0.778
2 H 0.500 0.778 0.278
3 H 0.500 0.278 0.778
4 F 0.385 0.832 0.109
5 F 0.277 0.109 0.724
6 F 0.723 0.447 0.832
7 F 0.615 0.724 0.447
8 F 0.000 0.278 0.278

No. 5
Below is an optimized crystal structure of HoHF4, with properties calculated at the PBE level.

## Properties
* space-group type: P2_1/m

Cell lengths 4.357, 5.899, 6.882 Å; angles 90.00, 90.00, 118.50 degrees
Element x y z (fractional)
1 Ho 0.032 0.619 0.750
2 Ho 0.968 0.381 0.250
3 H 0.062 0.131 0.750
4 H 0.938 0.869 0.250
5 F 0.554 0.653 0.750
6 F 0.446 0.347 0.250
7 F 0.229 0.066 0.750
8 F 0.771 0.934 0.250
9 F 0.100 0.724 0.064
10 F 0.900 0.276 0.564
11 F 0.100 0.724 0.436
12 F 0.900 0.276 0.936

No. 6
Below is an optimized crystal structure of Ho2HF6, with properties calculated at the PBE level.

## Properties
* space-group type: C2/m

Cell lengths 3.629, 4.360, 8.399 Å; angles 56.55, 77.52, 65.40 degrees
Element x y z (fractional)
1 Ho 0.243 0.259 0.255
2 Ho 0.757 0.741 0.745
3 H 0.000 0.000 0.000
4 F 0.664 0.605 0.067
5 F 0.336 0.395 0.933
6 F 0.342 0.748 0.568
7 F 0.946 0.832 0.277
8 F 0.054 0.168 0.723
9 F 0.658 0.252 0.432

No. 7
Below is an optimized crystal structure of Ho2HF, with properties calculated at the PBE level.

## Properties
* space-group type: R-3m

Cell lengths 3.585, 3.585, 7.447 Å; angles 76.07, 76.07, 60.00 degrees
Element x y z (fractional)
1 H 0.500 0.500 0.500
2 Ho 0.101 0.101 0.697
3 Ho 0.899 0.899 0.303
4 F 0.000 0.000 0.000

No. 8
Below is an optimized crystal structure of HoH2F, with properties calculated at the PBE level.

## Properties
* space-group type: P4/mmm

Cell lengths 3.183, 3.183, 4.391 Å; angles 90.00, 90.00, 90.00 degrees
Element x y z (fractional)
1 H 0.000 0.000 0.778
2 H 0.000 0.000 0.222
3 Ho 0.500 0.500 0.000
4 F 0.500 0.500 0.500

No. 9
Below is an optimized crystal structure of HoHF4, with properties calculated at the PBE level.

## Properties
* space-group type: P-1

Cell lengths 6.543, 3.940, 8.363 Å; angles 89.94, 104.55, 127.02 degrees
Element x y z (fractional)
1 Ho 0.818 0.068 0.135
2 Ho 0.182 0.932 0.865
3 H 0.422 0.671 0.343
4 H 0.578 0.329 0.657
5 F 0.361 0.111 0.662
6 F 0.034 0.783 0.098
7 F 0.200 0.449 0.338
8 F 0.435 0.685 0.902
9 F 0.639 0.889 0.338
10 F 0.800 0.551 0.662
11 F 0.966 0.217 0.902
12 F 0.565 0.315 0.098

No. 10
Below is an optimized crystal structure of K2HoHF6, with properties calculated at the PBE level.

## Properties
* space-group type: Immm

Cell lengths 5.897, 5.891, 6.833 Å; angles 54.62, 54.61, 70.05 degrees
Element x y z (fractional)
1 K 0.750 0.250 0.500
2 K 0.250 0.750 0.500
3 Ho 0.000 0.000 0.000
4 H 0.500 0.500 0.000
5 F 0.221 0.221 0.558
6 F 0.779 0.778 0.001
7 F 0.329 0.671 0.000
8 F 0.671 0.329 0.000
9 F 0.221 0.222 0.999
10 F 0.779 0.779 0.442

No. 11
Below is an optimized crystal structure of Rb2HoHF6, with properties calculated at the PBE level.

## Properties
* space-group type: I4/mmm

Cell lengths 6.042, 6.041, 7.049 Å; angles 54.38, 54.38, 69.02 degrees
Element x y z (fractional)
1 Rb 0.750 0.250 0.500
2 Rb 0.250 0.750 0.500
3 Ho 0.000 0.000 0.000
4 H 0.500 0.500 0.000
5 F 0.214 0.214 0.572
6 F 0.785 0.785 0.000
7 F 0.330 0.670 0.000
8 F 0.670 0.330 0.000
9 F 0.215 0.215 0.000
10 F 0.786 0.786 0.428

No. 12
Below is an optimized crystal structure of HI2F, with properties calculated at the PBE level.

## Properties
* space-group type: Fm-3m

Cell lengths 4.725, 4.725, 4.725 Å; angles 60.00, 60.00, 60.00 degrees
Element x y z (fractional)
1 I 0.250 0.250 0.250
2 I 0.750 0.750 0.750
3 H 0.000 0.000 0.000
4 F 0.500 0.500 0.500

VASP energy values (in eV/atom) by entry order: -3.46 -4.55 -3.31 -5.39 -5.80 -5.97 -4.92 -4.34 -5.82 -5.17 -5.15 -1.57.
D(E_F) values (in states/eV/f.u.) by entry order: 1.475 1.305 3.863 0.000 0.000 0.000 0.607 1.521 0.000 0.000 0.000 3.818.